Record 1
Material: Pr6Tl2Hg3
Method: DFT, GGA-PBE
State: relaxed

Lattice parameters (Å, degrees): 6.0735 6.0735 11.4715 105.35 105.35 90.00
Last column: nearest neighbours and their distance in Å.
Fractional coordinates of all 11 atoms:
Pr 0.0963 0.5963 0.1926  2 Tl 3.10, 2 Hg 3.22
Pr 0.5963 0.0963 0.1926  2 Tl 3.10, 2 Hg 3.22
Pr 0.9037 0.4037 0.8074  2 Tl 3.10, 2 Hg 3.22
Pr 0.4037 0.9037 0.8074  2 Tl 3.10, 2 Hg 3.22
Pr 0.7135 0.7135 0.4270  1 Hg 2.99, 1 Tl 3.14
Pr 0.2865 0.2865 0.5730  1 Hg 2.99, 1 Tl 3.14
Tl 0.4340 0.4340 0.8680  1 Tl 2.81, 5 Pr 3.10-3.14
Tl 0.5660 0.5660 0.1320  1 Tl 2.81, 5 Pr 3.10-3.14
Hg 0.0000 0.0000 0.0000  2 Hg 3.11
Hg 0.8540 0.8540 0.7080  5 Pr 2.99-3.22, 1 Hg 3.11
Hg 0.1460 0.1460 0.2920  5 Pr 2.99-3.22, 1 Hg 3.11

Space group: I4/mmm, No. 139
E_form: -0.02 eV per atom

Record 2
Material: BaMgTe2
Method: DFT, GGA-PBE
State: relaxed

Lattice parameters (Å, degrees): 8.1806 8.1806 7.3805 56.34 56.34 90.00
Last column: nearest neighbours and their distance in Å.
Fractional coordinates of all 8 atoms:
Mg 0.5000 0.5000 0.0000  4 Te 2.80
Mg 0.2500 0.7500 0.5000  4 Te 2.80
Te 0.5627 0.1250 0.2500  2 Mg 2.80
Te 0.1873 0.6250 0.2500  2 Mg 2.80
Te 0.3750 0.4373 0.7500  2 Mg 2.80
Te 0.8750 0.8127 0.7500  2 Mg 2.80
Ba 0.0000 0.0000 0.0000  4 Te 3.47
Ba 0.7500 0.2500 0.5000  4 Te 3.47

Formation energy without anion corrections: -1.20 eV/atom
Space group: I-42d, No. 122

Record 3
Material: Zr2Zn2Te
Method: DFT, GGA-PBE
State: relaxed

Lattice parameters (Å, degrees): 7.3558 7.3558 4.0473 90.00 90.00 90.00
Last column: nearest neighbours and their distance in Å.
Fractional coordinates of all 10 atoms:
Zn 0.1359 0.6359 0.5000  1 Zn 2.83, 6 Zr 2.95-2.97
Zn 0.6359 0.8641 0.5000  1 Zn 2.83, 6 Zr 2.95-2.97
Zn 0.8641 0.3641 0.5000  1 Zn 2.83, 6 Zr 2.95-2.97
Zn 0.3641 0.1359 0.5000  1 Zn 2.83, 6 Zr 2.95-2.97
Te 0.0000 0.0000 0.0000  4 Zr 2.78
Te 0.5000 0.5000 0.0000  4 Zr 2.78
Zr 0.3444 0.8444 0.0000  2 Te 2.78, 6 Zn 2.95-2.97
Zr 0.8444 0.6556 0.0000  2 Te 2.78, 6 Zn 2.95-2.97
Zr 0.6556 0.1556 0.0000  2 Te 2.78, 6 Zn 2.95-2.97
Zr 0.1556 0.3444 0.0000  2 Te 2.78, 6 Zn 2.95-2.97

Formation energy without anion corrections: -0.25 eV/atom
Space group: P4/mbm, No. 127
Polymorph energy (0 for the lowest one): 0.0 meV per atom

Record 4
Material: DyInCo
Method: DFT, GGA-PBE
State: relaxed

Lattice parameters (Å, degrees): 4.6111 4.6100 7.5564 107.75 90.00 120.01
Last column: nearest neighbours and their distance in Å.
Fractional coordinates of all 6 atoms:
Dy 0.7475 0.4949 0.2430  4 Co 2.68-2.83
Dy 0.2525 0.5051 0.7570  4 Co 2.68-2.83
In 0.5000 0.0000 0.5000  6 Co 2.80
In 0.0000 0.0000 0.0000  2 Co 2.67
Co 0.1255 0.2509 0.3775  4 In 2.67-2.80, 4 Dy 2.68-2.83
Co 0.8745 0.7491 0.6225  4 In 2.67-2.80, 4 Dy 2.68-2.83

Space group: R-3m, No. 166
E_form: -0.17 eV per atom

Record 5
Material: LiSc2Ta
Method: DFT, GGA-PBE
State: relaxed

Lattice parameters (Å, degrees): 5.8583 5.8583 5.8583 148.56 130.40 59.91
Last column: nearest neighbours and their distance in Å.
Fractional coordinates of all 4 atoms:
Li 0.2541 0.7541 0.5000  2 Ta 2.76, 6 Sc 2.80-2.93
Sc 0.0269 0.0269 0.0000  2 Li 2.80, 4 Ta 2.97
Sc 0.7419 0.2419 0.5000  4 Li 2.93, 2 Ta 3.12, 2 Sc 3.17
Ta 0.4771 0.4771 0.0000  2 Li 2.76, 4 Sc 2.97

Space group: Imm2, No. 44
E_form: 0.26 eV per atom
Polymorph energy (0 for the lowest one): 129.6 meV per atom

Record 6
Material: ZrTcCl2
Method: DFT, GGA-PBE
State: relaxed

Lattice parameters (Å, degrees): 9.7428 9.7428 9.7428 18.97 18.97 18.97
Last column: nearest neighbours and their distance in Å.
Fractional coordinates of all 4 atoms:
Tc 0.4960 0.4960 0.4960  3 Cl 2.39
Zr 0.2482 0.2482 0.2482  3 Cl 2.61
Cl 0.9788 0.9788 0.9788  3 Zr 2.61
Cl 0.7770 0.7770 0.7770  3 Tc 2.39

Formation energy without anion corrections: -0.52 eV/atom
Space group: R3m, No. 160
Polymorph energy (0 for the lowest one): 36.0 meV per atom

Record 7
Material: FeRe3
Method: DFT, GGA-PBE
State: relaxed

Lattice parameters (Å, degrees): 4.3334 4.3334 4.3334 60.00 60.00 60.00
Last column: nearest neighbours and their distance in Å.
Fractional coordinates of all 4 atoms:
Fe 0.0000 0.0000 0.0000  8 Re 2.65
Re 0.2500 0.2500 0.2500  4 Fe 2.65, 4 Re 2.65
Re 0.5000 0.5000 0.5000  8 Re 2.65
Re 0.7500 0.7500 0.7500  4 Fe 2.65, 4 Re 2.65

Space group: Fm-3m, No. 225
E_form: 0.19 eV per atom

Record 8
Material: TcW8
Method: DFT, GGA-PBE
State: relaxed

Lattice parameters (Å, degrees): 3.1840 6.9129 6.9129 93.04 103.31 76.69
Last column: nearest neighbours and their distance in Å.
Fractional coordinates of all 9 atoms:
Tc 0.0000 0.0000 0.0000  8 W 2.75
W 0.0000 0.3323 0.3323  8 W 2.74-2.76
W 0.0000 0.6677 0.6677  8 W 2.74-2.76
W 0.3323 0.6677 0.3323  8 W 2.74-2.76
W 0.3332 0.0000 0.6665  6 W 2.74-2.75, 2 Tc 2.75
W 0.3332 0.3335 0.0000  6 W 2.74-2.75, 2 Tc 2.75
W 0.6677 0.3323 0.6677  8 W 2.74-2.76
W 0.6668 0.6665 0.0000  6 W 2.74-2.75, 2 Tc 2.75
W 0.6668 0.0000 0.3335  6 W 2.74-2.75, 2 Tc 2.75

Space group: I4/mmm, No. 139
E_form: 0.02 eV per atom

Calculated spin magnetization, 0.0, 0.0, 0.0, 0.0, 0.0, 0.3, 2.8, 0.0 μB per cell (same order as the records).